Crystalline MnFeO2F at its relaxed geometry. Source: Alexandria via LeMat-Bulk, functional PBE+U.

abc: 3.8729 3.8729 3.9011
angles: 90.00 90.00 90.00
Space group P4/mmm (No. 123)
One atom of each set of equivalent atoms:
Mn 0.0000 0.0000 0.0000 x1
Fe 0.5000 0.5000 0.5000 x1
O 0.0000 0.5000 0.0000 x2
F 0.0000 0.0000 0.5000 x1

* M_tot: 8.00 μB/cell
* E_tot: -6.237 eV per atom